Density functional theory data (GGA+U) for a geometry-optimized SrPaCr2O8 structure.

It has space group I-4m2 (No. 119), with a = 7.290 Å, b = 7.290 Å, c = 6.475 Å, α = 90.00°, β = 90.00° and γ = 90.00°. The distinct sites, in fractional coordinates, are Sr at (0.000, 0.000, 0.000), Pa at (0.000, 0.500, 0.750), Cr at (0.000, 0.000, 0.500), Cr at (0.000, 0.500, 0.250), O at (0.000, 0.200, 0.666) and O at (0.000, 0.329, 0.068).

The calculation puts the uncorrected energy at -7.80 eV/atom.